[1]
# LiAcAg2, relaxed, DFT GGA-PBE
# * crystal system: cubic
# * calculated total energy: -3.08 eV per atom
# * formation enthalpy at 0 K: -153 meV/atom
# * volume: 26.03 A^3/atom
data_LiAcAg2
_symmetry_space_group_name_H-M 'F m -3 m'
_symmetry_Int_Tables_number 225
_symmetry_space_group_name_Hall '-F 4 2 3'
_cell_length_a 7.468
_cell_length_b 7.468
_cell_length_c 7.468
_cell_angle_alpha 90.00
_cell_angle_beta 90.00
_cell_angle_gamma 90.00
loop_
_atom_site_label
_atom_site_fract_x
_atom_site_fract_y
_atom_site_fract_z
_atom_site_occupancy
Li1 0.000 0.000 0.000 1
Ac1 0.000 0.000 0.500 1
Ag1 0.250 0.250 0.250 1



[2]
# MgHgRu2, relaxed, DFT GGA-PBE
# * crystal system: orthorhombic
# * calculated total energy: -4.65 eV per atom
# * formation enthalpy at 0 K: 460 meV/atom
# * volume: 16.65 A^3/atom
data_MgHgRu2
_symmetry_space_group_name_H-M 'C m m m'
_symmetry_Int_Tables_number 65
_symmetry_space_group_name_Hall '-C 2 2'
_cell_length_a 3.060
_cell_length_b 4.716
_cell_length_c 9.232
_cell_angle_alpha 90.00
_cell_angle_beta 90.00
_cell_angle_gamma 90.00
loop_
_atom_site_label
_atom_site_fract_x
_atom_site_fract_y
_atom_site_fract_z
_atom_site_occupancy
Mg1 0.000 0.000 0.000 1
Hg1 0.000 0.000 0.500 1
Ru1 0.000 0.500 0.240 1



[3]
# TbTaTiIr2, relaxed, DFT GGA-PBE
# * crystal system: tetragonal
# * calculated total energy: -9.15 eV per atom
# * formation enthalpy at 0 K: -733 meV/atom
# * volume: 20.08 A^3/atom
data_TbTaTiIr2
_symmetry_space_group_name_H-M 'I -4 m 2'
_symmetry_Int_Tables_number 119
_symmetry_space_group_name_Hall 'I -4 -2'
_cell_length_a 4.350
_cell_length_b 4.350
_cell_length_c 10.615
_cell_angle_alpha 90.00
_cell_angle_beta 90.00
_cell_angle_gamma 90.00
loop_
_atom_site_label
_atom_site_fract_x
_atom_site_fract_y
_atom_site_fract_z
_atom_site_occupancy
Tb1 0.000 0.000 0.000 1
Ta1 0.000 0.500 0.750 1
Ti1 0.000 0.500 0.250 1
Ir1 0.000 0.000 0.378 1



[4]
# CeNd4Se7, relaxed, DFT GGA-PBE
# * crystal system: monoclinic
# * calculated total energy: -5.97 eV per atom
# * volume: 28.93 A^3/atom
# * formation energy (no corrections): -22.28 eV per formula unit
data_CeNd4Se7
_symmetry_space_group_name_H-M 'C 1 m 1'
_symmetry_Int_Tables_number 8
_symmetry_space_group_name_Hall 'C -2y'
_cell_length_a 13.936
_cell_length_b 4.111
_cell_length_c 12.532
_cell_angle_alpha 90.00
_cell_angle_beta 104.80
_cell_angle_gamma 90.00
loop_
_atom_site_label
_atom_site_fract_x
_atom_site_fract_y
_atom_site_fract_z
_atom_site_occupancy
Ce1 0.000 0.000 0.000 1
Nd1 0.113 0.000 0.422 1
Nd2 0.227 0.000 0.843 1
Nd3 0.313 0.500 0.234 1
Nd4 0.414 0.000 0.612 1
Se1 0.072 0.000 0.638 1
Se2 0.113 0.500 0.921 1
Se3 0.155 0.000 0.206 1
Se4 0.274 0.500 0.472 1
Se5 0.354 0.500 0.772 1
Se6 0.373 0.000 0.072 1
Se7 0.454 0.000 0.372 1



Number 2 is which compound?
MgHgRu2